A.
The following is a PBE calculation of a relaxed KAlMo crystal, from the Open Quantum Materials Database.

Lattice parameters (Å, degrees): 5.1817 5.1817 5.1817 60.00 60.00 60.00
Last column: nearest neighbours and their distance in Å.
Positions (direct):
1 K 0.0000 0.0000 0.0000  4 Mo 3.17, 4 Al 3.17
2 Al 0.7500 0.7500 0.7500  4 K 3.17
3 Mo 0.2500 0.2500 0.2500  4 K 3.17

## Properties
Space group: F-43m, No. 216
Size of the total moment, μB per cell: 4.13



B.
The following is a PBE calculation of a relaxed KAlMo crystal, from the Open Quantum Materials Database.

Lattice parameters (Å, degrees): 4.9262 4.9262 4.9262 60.00 60.00 60.00
Last column: nearest neighbours and their distance in Å.
Positions (direct):
1 K 0.0000 0.0000 0.0000  4 Al 3.02
2 Al 0.2500 0.2500 0.2500  4 Mo 3.02, 4 K 3.02
3 Mo 0.5000 0.5000 0.5000  4 Al 3.02

## Properties
Space group: F-43m, No. 216
Size of the total moment, μB per cell: 3.11



Quick one: least stable of them? A



A.
The following is a PBE calculation of a relaxed KAlOs crystal, from the Open Quantum Materials Database.

Lattice parameters (Å, degrees): 4.9251 4.9251 4.9251 60.00 60.00 60.00
Last column: nearest neighbours and their distance in Å.
Positions (direct):
1 K 0.0000 0.0000 0.0000  4 Os 3.02, 4 Al 3.02
2 Al 0.7500 0.7500 0.7500  4 K 3.02
3 Os 0.2500 0.2500 0.2500  4 K 3.02

## Properties
Space group: F-43m, No. 216
Size of the total moment, μB per cell: 2.13



B.
The following is a PBE calculation of a relaxed KAlOs crystal, from the Open Quantum Materials Database.

Lattice parameters (Å, degrees): 4.5508 4.5508 4.5508 60.00 60.00 60.00
Last column: nearest neighbours and their distance in Å.
Positions (direct):
1 K 0.0000 0.0000 0.0000  4 Os 2.79
2 Al 0.5000 0.5000 0.5000  4 Os 2.79
3 Os 0.7500 0.7500 0.7500  4 K 2.79, 4 Al 2.79

## Properties
Space group: F-43m, No. 216
Size of the total moment, μB per cell: 0.00



Quick one: least stable of them? A



A.
The following is a PBE calculation of a relaxed KTbAlTe3 crystal, from the Open Quantum Materials Database.

Lattice parameters (Å, degrees): 7.9956 7.9956 11.6806 90.00 90.00 144.94
Last column: nearest neighbours and their distance in Å.
Positions (direct):
1 K 0.2487 0.7513 0.7500  6 Te 3.68-3.72, 1 Al 4.11
2 K 0.7513 0.2487 0.2500  6 Te 3.68-3.72, 1 Al 4.11
3 Tb 0.0000 0.0000 0.0000  6 Te 3.10-3.18
4 Tb 0.0000 0.0000 0.5000  6 Te 3.10-3.18
5 Al 0.4821 0.5179 0.2500  4 Te 2.72-2.75
6 Al 0.5179 0.4821 0.7500  4 Te 2.72-2.75
7 Te 0.0686 0.9314 0.2500  2 Al 2.75
8 Te 0.3732 0.6268 0.0660  1 Al 2.72
9 Te 0.3732 0.6268 0.4340  1 Al 2.72
10 Te 0.6268 0.3732 0.5660  1 Al 2.72
11 Te 0.6268 0.3732 0.9340  1 Al 2.72
12 Te 0.9314 0.0686 0.7500  2 Al 2.75

## Properties
Space group: Cmcm, No. 63
Size of the total moment, μB per cell: 0.10



B.
The following is a PBE calculation of a relaxed KTbAlTe3 crystal, from the Open Quantum Materials Database.

Lattice parameters (Å, degrees): 12.1287 4.9505 13.2073 90.00 90.00 90.00
Last column: nearest neighbours and their distance in Å.
Positions (direct):
1 K 0.1827 0.2500 0.0079  7 Te 3.61-3.75, 3 Al 3.84-3.87
2 K 0.3173 0.7500 0.5079  7 Te 3.61-3.75, 3 Al 3.84-3.87
3 K 0.6827 0.2500 0.4921  7 Te 3.61-3.75, 3 Al 3.84-3.87
4 K 0.8173 0.7500 0.9921  7 Te 3.61-3.75, 3 Al 3.84-3.87
5 Tb 0.0246 0.2500 0.3216  7 Te 3.21-3.31
6 Tb 0.4754 0.7500 0.8216  7 Te 3.21-3.31
7 Tb 0.5246 0.2500 0.1784  7 Te 3.21-3.31
8 Tb 0.9754 0.7500 0.6784  7 Te 3.21-3.31
9 Al 0.2395 0.2500 0.7216  4 Te 2.67-2.74
10 Al 0.2605 0.7500 0.2216  4 Te 2.67-2.74
11 Al 0.7395 0.2500 0.7784  4 Te 2.67-2.74
12 Al 0.7605 0.7500 0.2784  4 Te 2.67-2.74
13 Te 0.0491 0.7500 0.1649  1 Al 2.67
14 Te 0.0930 0.2500 0.5642  1 Al 2.74
15 Te 0.2116 0.7500 0.8042  2 Al 2.73
16 Te 0.2884 0.2500 0.3042  2 Al 2.73
17 Te 0.4070 0.7500 0.0642  1 Al 2.74
18 Te 0.4509 0.2500 0.6649  1 Al 2.67
19 Te 0.5491 0.7500 0.3351  1 Al 2.67
20 Te 0.5930 0.2500 0.9358  1 Al 2.74
21 Te 0.7116 0.7500 0.6958  2 Al 2.73
22 Te 0.7884 0.2500 0.1958  2 Al 2.73
23 Te 0.9070 0.7500 0.4358  1 Al 2.74
24 Te 0.9509 0.2500 0.8351  1 Al 2.67

## Properties
Space group: Pnma, No. 62
Size of the total moment, μB per cell: 0.09



Quick one: least stable of them? B



A.
The following is a PBE calculation of a relaxed KAlTc crystal, from the Open Quantum Materials Database.

Lattice parameters (Å, degrees): 4.7813 4.7813 4.7813 60.00 60.00 60.00
Last column: nearest neighbours and their distance in Å.
Positions (direct):
1 K 0.0000 0.0000 0.0000  4 Tc 2.93
2 Al 0.5000 0.5000 0.5000  4 Tc 2.93
3 Tc 0.2500 0.2500 0.2500  4 K 2.93, 4 Al 2.93

## Properties
Space group: F-43m, No. 216
Size of the total moment, μB per cell: 2.29



B.
The following is a PBE calculation of a relaxed KAlTc crystal, from the Open Quantum Materials Database.

Lattice parameters (Å, degrees): 5.0173 5.0173 5.0173 60.00 60.00 60.00
Last column: nearest neighbours and their distance in Å.
Positions (direct):
1 K 0.0000 0.0000 0.0000  4 Al 3.07, 4 Tc 3.07
2 Al 0.7500 0.7500 0.7500  4 K 3.07
3 Tc 0.2500 0.2500 0.2500  4 K 3.07

## Properties
Space group: F-43m, No. 216
Size of the total moment, μB per cell: 3.22



Quick one: least stable of them? B



A.
The following is a PBE calculation of a relaxed KZrAl crystal, from the Open Quantum Materials Database.

Lattice parameters (Å, degrees): 5.1031 5.1031 5.1031 60.00 60.00 60.00
Last column: nearest neighbours and their distance in Å.
Positions (direct):
1 K 0.0000 0.0000 0.0000  4 Al 3.12
2 Zr 0.5000 0.5000 0.5000  4 Al 3.12
3 Al 0.2500 0.2500 0.2500  4 Zr 3.12, 4 K 3.12

## Properties
Space group: F-43m, No. 216
Size of the total moment, μB per cell: 0.00



B.
The following is a PBE calculation of a relaxed KZrAl crystal, from the Open Quantum Materials Database.

Lattice parameters (Å, degrees): 4.9448 4.9448 4.9448 60.00 60.00 60.00
Last column: nearest neighbours and their distance in Å.
Positions (direct):
1 K 0.0000 0.0000 0.0000  4 Zr 3.03, 4 Al 3.03
2 Zr 0.2500 0.2500 0.2500  4 K 3.03
3 Al 0.7500 0.7500 0.7500  4 K 3.03

## Properties
Space group: F-43m, No. 216
Size of the total moment, μB per cell: 0.00



Quick one: least stable of them? B



A.
The following is a PBE calculation of a relaxed LaLuAl crystal, from the Open Quantum Materials Database.

Lattice parameters (Å, degrees): 5.1327 5.1327 5.1327 60.00 60.00 60.00
Last column: nearest neighbours and their distance in Å.
Positions (direct):
1 La 0.0000 0.0000 0.0000  4 Al 3.14, 4 Lu 3.14
2 Lu 0.2500 0.2500 0.2500  4 La 3.14
3 Al 0.7500 0.7500 0.7500  4 La 3.14

## Properties
Space group: F-43m, No. 216
Size of the total moment, μB per cell: 0.00



B.
The following is a PBE calculation of a relaxed LaLuAl crystal, from the Open Quantum Materials Database.

Lattice parameters (Å, degrees): 5.1253 5.1253 5.1253 60.00 60.00 60.00
Last column: nearest neighbours and their distance in Å.
Positions (direct):
1 La 0.0000 0.0000 0.0000  4 Al 3.14
2 Lu 0.5000 0.5000 0.5000  4 Al 3.14
3 Al 0.2500 0.2500 0.2500  4 Lu 3.14, 4 La 3.14

## Properties
Space group: F-43m, No. 216
Size of the total moment, μB per cell: 0.03



Quick one: least stable of them? A



A.
The following is a PBE calculation of a relaxed LaMgAlPd crystal, from the Open Quantum Materials Database.

Lattice parameters (Å, degrees): 4.9125 4.9125 4.9125 60.00 60.00 60.00
Last column: nearest neighbours and their distance in Å.
Positions (direct):
1 La 0.0000 0.0000 0.0000  4 Mg 3.01, 4 Al 3.01
2 Mg 0.7500 0.7500 0.7500  4 Pd 3.01, 4 La 3.01
3 Al 0.2500 0.2500 0.2500  4 Pd 3.01, 4 La 3.01
4 Pd 0.5000 0.5000 0.5000  4 Mg 3.01, 4 Al 3.01

## Properties
Space group: F-43m, No. 216
Size of the total moment, μB per cell: 0.00



B.
The following is a PBE calculation of a relaxed LaMgAlPd crystal, from the Open Quantum Materials Database.

Lattice parameters (Å, degrees): 4.9862 4.9862 4.9862 60.00 60.00 60.00
Last column: nearest neighbours and their distance in Å.
Positions (direct):
1 La 0.0000 0.0000 0.0000  4 Al 3.05, 4 Pd 3.05
2 Mg 0.5000 0.5000 0.5000  4 Al 3.05, 4 Pd 3.05
3 Al 0.7500 0.7500 0.7500  4 La 3.05, 4 Mg 3.05
4 Pd 0.2500 0.2500 0.2500  4 La 3.05, 4 Mg 3.05

## Properties
Space group: F-43m, No. 216
Size of the total moment, μB per cell: 0.00



C.
The following is a PBE calculation of a relaxed LaMgAlPd crystal, from the Open Quantum Materials Database.

Lattice parameters (Å, degrees): 4.9229 4.9229 4.9229 60.00 60.00 60.00
Last column: nearest neighbours and their distance in Å.
Positions (direct):
1 La 0.0000 0.0000 0.0000  4 Mg 3.01, 4 Pd 3.01
2 Mg 0.7500 0.7500 0.7500  4 La 3.01, 4 Al 3.01
3 Al 0.5000 0.5000 0.5000  4 Mg 3.01, 4 Pd 3.01
4 Pd 0.2500 0.2500 0.2500  4 La 3.01, 4 Al 3.01

## Properties
Space group: F-43m, No. 216
Size of the total moment, μB per cell: 0.00



Quick one: least stable of them? A



A.
The following is a PBE calculation of a relaxed LaAlMo crystal, from the Open Quantum Materials Database.

Lattice parameters (Å, degrees): 4.7138 4.7138 4.7138 60.00 60.00 60.00
Last column: nearest neighbours and their distance in Å.
Positions (direct):
1 La 0.0000 0.0000 0.0000  4 Al 2.89
2 Al 0.2500 0.2500 0.2500  4 Mo 2.89, 4 La 2.89
3 Mo 0.5000 0.5000 0.5000  4 Al 2.89

## Properties
Space group: F-43m, No. 216
Size of the total moment, μB per cell: 1.16



B.
The following is a PBE calculation of a relaxed LaAlMo crystal, from the Open Quantum Materials Database.

Lattice parameters (Å, degrees): 4.9478 4.9478 4.9478 60.00 60.00 60.00
Last column: nearest neighbours and their distance in Å.
Positions (direct):
1 La 0.0000 0.0000 0.0000  4 Mo 3.03, 4 Al 3.03
2 Al 0.7500 0.7500 0.7500  4 La 3.03
3 Mo 0.2500 0.2500 0.2500  4 La 3.03

## Properties
Space group: F-43m, No. 216
Size of the total moment, μB per cell: 3.22



Quick one: least stable of them? B



A.
The following is a PBE calculation of a relaxed LaAl2Pd2 crystal, from the Open Quantum Materials Database.

Lattice parameters (Å, degrees): 4.4371 4.4371 10.0477 90.00 90.00 90.00
Last column: nearest neighbours and their distance in Å.
Positions (direct):
1 La 0.2500 0.2500 0.2479  8 Pd 3.34-3.38, 9 Al 3.37-3.72
2 La 0.7500 0.7500 0.7521  8 Pd 3.34-3.38, 9 Al 3.37-3.72
3 Al 0.2500 0.2500 0.8772  5 Pd 2.50-2.54
4 Al 0.2500 0.7500 0.5000  4 Pd 2.56
5 Al 0.7500 0.2500 0.5000  4 Pd 2.56
6 Al 0.7500 0.7500 0.1228  5 Pd 2.50-2.54
7 Pd 0.2500 0.2500 0.6280  5 Al 2.50-2.56
8 Pd 0.2500 0.7500 0.0000  4 Al 2.54
9 Pd 0.7500 0.2500 0.0000  4 Al 2.54
10 Pd 0.7500 0.7500 0.3720  5 Al 2.50-2.56

## Properties
Space group: P4/nmm, No. 129
Size of the total moment, μB per cell: 0.01



B.
The following is a PBE calculation of a relaxed LaAl2Pd2 crystal, from the Open Quantum Materials Database.

Lattice parameters (Å, degrees): 6.4809 6.4809 6.4809 143.06 143.06 53.24
Last column: nearest neighbours and their distance in Å.
Positions (direct):
1 La 0.0000 0.0000 0.0000  8 Pd 3.22, 8 Al 3.55
2 Al 0.2500 0.7500 0.5000  4 Pd 2.55
3 Al 0.7500 0.2500 0.5000  4 Pd 2.55
4 Pd 0.3806 0.3806 0.0000  4 Al 2.55, 1 Pd 2.77
5 Pd 0.6194 0.6194 0.0000  4 Al 2.55, 1 Pd 2.77

## Properties
Space group: I4/mmm, No. 139
Size of the total moment, μB per cell: 0.00



Quick one: least stable of them? B



A.
The following is a PBE calculation of a relaxed LaAlSbPd2 crystal, from the Open Quantum Materials Database.

Lattice parameters (Å, degrees): 4.6350 4.6350 10.0180 90.00 90.00 90.00
Last column: nearest neighbours and their distance in Å.
Positions (direct):
1 La 0.2500 0.2500 0.2403  8 Pd 3.34-3.47, 5 Al 3.47-3.54, 4 Sb 3.48
2 La 0.7500 0.7500 0.7597  8 Pd 3.34-3.47, 5 Al 3.47-3.54, 4 Sb 3.48
3 Al 0.2500 0.2500 0.8938  5 Pd 2.47-2.55
4 Al 0.7500 0.7500 0.1062  5 Pd 2.47-2.55
5 Sb 0.2500 0.7500 0.5000  4 Pd 2.75
6 Sb 0.7500 0.2500 0.5000  4 Pd 2.75
7 Pd 0.2500 0.2500 0.6470  1 Al 2.47, 4 Sb 2.75
8 Pd 0.2500 0.7500 0.0000  4 Al 2.55
9 Pd 0.7500 0.2500 0.0000  4 Al 2.55
10 Pd 0.7500 0.7500 0.3530  1 Al 2.47, 4 Sb 2.75

## Properties
Space group: P4/nmm, No. 129
Size of the total moment, μB per cell: 0.17



B.
The following is a PBE calculation of a relaxed LaAlSbPd2 crystal, from the Open Quantum Materials Database.

Lattice parameters (Å, degrees): 4.5130 4.5130 10.4470 90.00 90.00 90.00
Last column: nearest neighbours and their distance in Å.
Positions (direct):
1 La 0.2500 0.2500 0.2458  4 Sb 3.37, 8 Pd 3.42-3.54, 4 Al 3.48
2 La 0.7500 0.7500 0.7542  4 Sb 3.37, 8 Pd 3.42-3.54, 4 Al 3.48
3 Al 0.2500 0.7500 0.5000  4 Pd 2.52
4 Al 0.7500 0.2500 0.5000  4 Pd 2.52
5 Sb 0.2500 0.2500 0.8567  5 Pd 2.60-2.71
6 Sb 0.7500 0.7500 0.1433  5 Pd 2.60-2.71
7 Pd 0.2500 0.2500 0.6075  4 Al 2.52, 1 Sb 2.60
8 Pd 0.2500 0.7500 0.0000  4 Sb 2.71
9 Pd 0.7500 0.2500 0.0000  4 Sb 2.71
10 Pd 0.7500 0.7500 0.3925  4 Al 2.52, 1 Sb 2.60

## Properties
Space group: P4/nmm, No. 129
Size of the total moment, μB per cell: 0.00



Quick one: least stable of them? A



A.
The following is a PBE calculation of a relaxed LaAlW crystal, from the Open Quantum Materials Database.

Lattice parameters (Å, degrees): 4.9051 4.9051 4.9051 60.00 60.00 60.00
Last column: nearest neighbours and their distance in Å.
Positions (direct):
1 La 0.0000 0.0000 0.0000  4 W 3.00, 4 Al 3.00
2 Al 0.7500 0.7500 0.7500  4 La 3.00
3 W 0.2500 0.2500 0.2500  4 La 3.00

## Properties
Space group: F-43m, No. 216
Size of the total moment, μB per cell: 2.32



B.
The following is a PBE calculation of a relaxed LaAlW crystal, from the Open Quantum Materials Database.

Lattice parameters (Å, degrees): 4.6068 4.6068 4.6068 60.00 60.00 60.00
Last column: nearest neighbours and their distance in Å.
Positions (direct):
1 La 0.0000 0.0000 0.0000  4 W 2.82
2 Al 0.5000 0.5000 0.5000  4 W 2.82
3 W 0.7500 0.7500 0.7500  4 Al 2.82, 4 La 2.82

## Properties
Space group: F-43m, No. 216
Size of the total moment, μB per cell: 0.00



Quick one: least stable of them? A



A.
The following is a PBE calculation of a relaxed LiLuAl crystal, from the Open Quantum Materials Database.

Lattice parameters (Å, degrees): 4.7621 4.7621 4.7621 60.00 60.00 60.00
Last column: nearest neighbours and their distance in Å.
Positions (direct):
1 Li 0.0000 0.0000 0.0000  4 Al 2.92
2 Lu 0.5000 0.5000 0.5000  4 Al 2.92
3 Al 0.2500 0.2500 0.2500  4 Li 2.92, 4 Lu 2.92

## Properties
Space group: F-43m, No. 216
Size of the total moment, μB per cell: 1.00



B.
The following is a PBE calculation of a relaxed LiLuAl crystal, from the Open Quantum Materials Database.

Lattice parameters (Å, degrees): 4.8080 4.8080 4.8080 60.00 60.00 60.00
Last column: nearest neighbours and their distance in Å.
Positions (direct):
1 Li 0.0000 0.0000 0.0000  4 Lu 2.94
2 Lu 0.7500 0.7500 0.7500  4 Li 2.94, 4 Al 2.94
3 Al 0.5000 0.5000 0.5000  4 Lu 2.94

## Properties
Space group: F-43m, No. 216
Size of the total moment, μB per cell: 0.60



Quick one: least stable of them? B